*one*
Computed, not measured: a PBEsol-optimized structure of AsIrF2 at the SCAN level of DFT.

a b c (Å): 7.2112 7.2112 4.6844
angles (deg): 90.00 90.00 90.00
Space group I-42d (No. 122)
Asymmetric unit:
As 0.0000 0.0000 0.0000 (multiplicity 4)
Ir 0.0000 0.0000 0.5000 (multiplicity 4)
F 0.1470 0.7500 0.6250 (multiplicity 8)

Computed properties:
Magnetization in μB/atom: 0.143
Fermi-level density of states in states/eV/atom: 0.510

---

*two*
Computed, not measured: a PBEsol-optimized structure of AsIrF2 at the SCAN level of DFT.

a b c (Å): 2.7076 2.7076 24.2536
angles (deg): 90.00 90.00 120.00
Space group R-3m (No. 166, hexagonal axes)
Asymmetric unit:
As 0.0000 0.0000 0.0000 (multiplicity 3)
Ir 0.0000 0.0000 0.5000 (multiplicity 3)
F 0.0000 0.0000 0.4185 (multiplicity 6)

Computed properties:
Magnetization in μB/atom: 0.000
Fermi-level density of states in states/eV/atom: 0.632

---

So which one is most stable? That would be *two*, about 0.426 eV/atom below the next structure.

---

*one*
Computed, not measured: a PBEsol-optimized structure of AsS3N2F6 at the SCAN level of DFT.

a b c (Å): 8.4384 8.1936 11.0508
angles (deg): 90.00 95.36 90.00
Space group P2_1/c (No. 14)
Asymmetric unit:
As 0.2343 0.1003 0.3687 (multiplicity 4)
S 0.1460 0.5580 0.3589 (multiplicity 4)
S 0.3544 0.6301 0.5592 (multiplicity 4)
S 0.4623 0.6502 0.3851 (multiplicity 4)
N 0.1817 0.5811 0.5005 (multiplicity 4)
N 0.3041 0.6050 0.3025 (multiplicity 4)
F 0.0602 0.1948 0.4071 (multiplicity 4)
F 0.1296 0.5741 0.8146 (multiplicity 4)
F 0.2068 0.1908 0.2237 (multiplicity 4)
F 0.2701 0.0160 0.5133 (multiplicity 4)
F 0.3453 0.2198 0.9212 (multiplicity 4)
F 0.4142 0.0158 0.3274 (multiplicity 4)

Computed properties:
Magnetization in μB/atom: 0.000

---

*two*
Computed, not measured: a PBEsol-optimized structure of AsS3N2F6 at the SCAN level of DFT.

a b c (Å): 5.5754 7.7248 9.4716
angles (deg): 88.25 80.38 73.92
Space group P-1 (No. 2)
Asymmetric unit:
As 0.0774 0.2792 0.2200 (multiplicity 2)
S 0.2748 0.1399 0.8014 (multiplicity 2)
S 0.4451 0.7652 0.4425 (multiplicity 2)
S 0.4668 0.7070 0.1539 (multiplicity 2)
N 0.3483 0.1421 0.6311 (multiplicity 2)
N 0.3524 0.6857 0.3175 (multiplicity 2)
F 0.0399 0.0788 0.3043 (multiplicity 2)
F 0.1230 0.4749 0.1338 (multiplicity 2)
F 0.1387 0.5900 0.6398 (multiplicity 2)
F 0.1682 0.7174 0.8744 (multiplicity 2)
F 0.2971 0.1470 0.0778 (multiplicity 2)
F 0.3294 0.2677 0.3124 (multiplicity 2)

Computed properties:
Magnetization in μB/atom: 0.083

---

So which one is most stable? That would be *one*, about 0.006 eV/atom below the next structure.

---

*one*
Computed, not measured: a PBEsol-optimized structure of AsSeNF2 at the SCAN level of DFT.

a b c (Å): 3.9326 3.9326 4.1177
angles (deg): 90.00 90.00 90.00
Space group P4/mmm (No. 123)
Asymmetric unit:
As 0.0000 0.0000 0.0000 (multiplicity 1)
Se 0.5000 0.5000 0.0000 (multiplicity 1)
N 0.5000 0.5000 0.5000 (multiplicity 1)
F 0.0000 0.5000 0.5000 (multiplicity 2)

Computed properties:
Magnetization in μB/atom: 0.000
Fermi-level density of states in states/eV/atom: 0.450

---

*two*
Computed, not measured: a PBEsol-optimized structure of AsSeNF2 at the SCAN level of DFT.

a b c (Å): 3.9443 3.9443 4.2985
angles (deg): 90.00 90.00 90.00
Space group P4/mmm (No. 123)
Asymmetric unit:
As 0.0000 0.0000 0.0000 (multiplicity 1)
Se 0.5000 0.5000 0.5000 (multiplicity 1)
N 0.0000 0.0000 0.5000 (multiplicity 1)
F 0.0000 0.5000 0.0000 (multiplicity 2)

Computed properties:
Magnetization in μB/atom: 0.128
Fermi-level density of states in states/eV/atom: 0.581

---

So which one is most stable? That would be *two*, about 0.452 eV/atom below the next structure.

---

*one*
Computed, not measured: a PBEsol-optimized structure of AsWF2 at the SCAN level of DFT.

a b c (Å): 2.7416 2.7416 29.4461
angles (deg): 90.00 90.00 120.00
Space group R-3m (No. 166, hexagonal axes)
Asymmetric unit:
As 0.0000 0.0000 0.0000 (multiplicity 3)
W 0.0000 0.0000 0.5000 (multiplicity 3)
F 0.0000 0.0000 0.1153 (multiplicity 6)

Computed properties:
Magnetization in μB/atom: 0.000
Fermi-level density of states in states/eV/atom: 0.356

---

*two*
Computed, not measured: a PBEsol-optimized structure of AsWF2 at the SCAN level of DFT.

a b c (Å): 3.6524 3.6524 15.5909
angles (deg): 90.00 90.00 90.00
Space group I-42d (No. 122)
Asymmetric unit:
As 0.0000 0.0000 0.0000 (multiplicity 4)
W 0.0000 0.0000 0.5000 (multiplicity 4)
F 0.1885 0.2500 0.6250 (multiplicity 8)

Computed properties:
Magnetization in μB/atom: 0.172
Fermi-level density of states in states/eV/atom: 0.488

---

So which one is most stable? That would be *one*, about 0.239 eV/atom below the next structure.

---

*one*
Computed, not measured: a PBEsol-optimized structure of InFe2As at the SCAN level of DFT.

a b c (Å): 4.2644 4.2644 3.1046
angles (deg): 90.00 90.00 90.00
Space group P4/mmm (No. 123)
Asymmetric unit:
In 0.0000 0.0000 0.0000 (multiplicity 1)
Fe 0.0000 0.5000 0.5000 (multiplicity 2)
As 0.5000 0.5000 0.0000 (multiplicity 1)

Computed properties:
Magnetization in μB/atom: 1.096
Fermi-level density of states in states/eV/atom: 0.856

---

*two*
Computed, not measured: a PBEsol-optimized structure of InFe2As at the SCAN level of DFT.

a b c (Å): 3.8139 4.5749 6.5837
angles (deg): 90.00 90.00 90.00
Space group Immm (No. 71)
Asymmetric unit:
In 0.0000 0.0000 0.0000 (multiplicity 2)
Fe 0.0000 0.5000 0.2032 (multiplicity 4)
As 0.0000 0.0000 0.5000 (multiplicity 2)

Computed properties:
Magnetization in μB/atom: 0.971
Fermi-level density of states in states/eV/atom: 0.788

---

So which one is most stable? That would be *one*, about 0.016 eV/atom below the next structure.

---

*one*
Computed, not measured: a PBEsol-optimized structure of La4FeAs4Ru3O4 at the SCAN level of DFT.

a b c (Å): 5.7320 5.7320 8.4797
angles (deg): 90.00 90.00 90.00
Space group P-42m (No. 111)
Asymmetric unit:
La 0.2502 0.2502 0.1421 (multiplicity 4)
Fe 0.0000 0.0000 0.5000 (multiplicity 1)
As 0.2438 0.2438 0.6510 (multiplicity 4)
Ru 0.0000 0.5000 0.5000 (multiplicity 2)
Ru 0.5000 0.5000 0.5000 (multiplicity 1)
O 0.0000 0.0000 0.0000 (multiplicity 1)
O 0.0000 0.5000 0.0000 (multiplicity 2)
O 0.5000 0.5000 0.0000 (multiplicity 1)

Computed properties:
Magnetization in μB/atom: 0.049
Fermi-level density of states in states/eV/atom: 0.210

---

*two*
Computed, not measured: a PBEsol-optimized structure of La4FeAs4Ru3O4 at the SCAN level of DFT.

a b c (Å): 4.0535 4.0535 16.8911
angles (deg): 90.00 90.00 90.00
Space group P-4m2 (No. 115)
Asymmetric unit:
La 0.0000 0.5000 0.1771 (multiplicity 2)
La 0.0000 0.5000 0.6805 (multiplicity 2)
Fe 0.0000 0.0000 0.0000 (multiplicity 1)
As 0.0000 0.5000 0.4222 (multiplicity 2)
As 0.0000 0.5000 0.9264 (multiplicity 2)
Ru 0.0000 0.0000 0.5000 (multiplicity 1)
Ru 0.5000 0.5000 0.0000 (multiplicity 1)
Ru 0.5000 0.5000 0.5000 (multiplicity 1)
O 0.0000 0.0000 0.2486 (multiplicity 2)
O 0.5000 0.5000 0.2481 (multiplicity 2)

Computed properties:
Magnetization in μB/atom: 0.054
Fermi-level density of states in states/eV/atom: 0.283

---

So which one is most stable? That would be *one*, about 0.007 eV/atom below the next structure.

---

*one*
Computed, not measured: a PBEsol-optimized structure of MgFeAs2 at the SCAN level of DFT.

a b c (Å): 4.2915 4.2915 6.5425
angles (deg): 90.00 90.00 90.00
Space group I4/mmm (No. 139)
Asymmetric unit:
Mg 0.0000 0.0000 0.0000 (multiplicity 2)
Fe 0.0000 0.0000 0.5000 (multiplicity 2)
As 0.0000 0.5000 0.2500 (multiplicity 4)

Computed properties:
Magnetization in μB/atom: 0.346
Fermi-level density of states in states/eV/atom: 0.452

---

*two*
Computed, not measured: a PBEsol-optimized structure of MgFeAs2 at the SCAN level of DFT.

a b c (Å): 2.9727 2.9722 7.0354
angles (deg): 90.00 90.09 90.00
Space group P2/m (No. 10)
Asymmetric unit:
Mg 0.0000 0.0000 0.0000 (multiplicity 1)
Fe 0.0000 0.0000 0.5000 (multiplicity 1)
As 0.4992 0.5000 0.2960 (multiplicity 2)

Computed properties:
Magnetization in μB/atom: 0.460
Fermi-level density of states in states/eV/atom: 0.458

---

So which one is most stable? That would be *two*, about 0.103 eV/atom below the next structure.

---

*one*
Computed, not measured: a PBEsol-optimized structure of FeNiAs2 at the SCAN level of DFT.

a b c (Å): 2.9773 2.9770 5.7980
angles (deg): 90.00 90.08 90.00
Space group P2/m (No. 10)
Asymmetric unit:
Fe 0.0000 0.0000 0.0000 (multiplicity 1)
Ni 0.0000 0.0000 0.5000 (multiplicity 1)
As 0.4994 0.5000 0.7566 (multiplicity 2)

Computed properties:
Magnetization in μB/atom: 0.438
Fermi-level density of states in states/eV/atom: 0.813

---

*two*
Computed, not measured: a PBEsol-optimized structure of FeNiAs2 at the SCAN level of DFT.

a b c (Å): 3.2852 3.2852 4.8097
angles (deg): 90.00 90.00 90.00
Space group P4mm (No. 99)
Asymmetric unit:
Fe 0.0000 0.0000 0.0000 (multiplicity 1)
Ni 0.5000 0.5000 0.3390 (multiplicity 1)
As 0.0000 0.0000 0.4807 (multiplicity 1)
As 0.5000 0.5000 0.8535 (multiplicity 1)

Computed properties:
Magnetization in μB/atom: 0.003
Fermi-level density of states in states/eV/atom: 0.349

---

So which one is most stable? That would be *two*, about 0.121 eV/atom below the next structure.

---

*one*
Computed, not measured: a PBEsol-optimized structure of Fe2ReAs at the SCAN level of DFT.

a b c (Å): 2.9151 4.1284 8.0914
angles (deg): 90.00 90.00 90.00
Space group Immm (No. 71)
Asymmetric unit:
Fe 0.0000 0.0000 0.2301 (multiplicity 4)
Re 0.0000 0.5000 0.0000 (multiplicity 2)
As 0.0000 0.5000 0.5000 (multiplicity 2)

Computed properties:
Magnetization in μB/atom: 0.998
Fermi-level density of states in states/eV/atom: 0.956

---

*two*
Computed, not measured: a PBEsol-optimized structure of Fe2ReAs at the SCAN level of DFT.

a b c (Å): 5.8319 5.8319 5.8319
angles (deg): 90.00 90.00 90.00
Space group Fm-3m (No. 225)
Asymmetric unit:
Fe 0.2500 0.2500 0.2500 (multiplicity 8)
Re 0.0000 0.0000 0.0000 (multiplicity 4)
As 0.0000 0.0000 0.5000 (multiplicity 4)

Computed properties:
Magnetization in μB/atom: 0.960
Fermi-level density of states in states/eV/atom: 0.648

---

*three*
Computed, not measured: a PBEsol-optimized structure of Fe2ReAs at the SCAN level of DFT.

a b c (Å): 4.1950 4.1950 2.8443
angles (deg): 90.00 90.00 90.00
Space group P4/mmm (No. 123)
Asymmetric unit:
Fe 0.0000 0.5000 0.0000 (multiplicity 2)
Re 0.0000 0.0000 0.5000 (multiplicity 1)
As 0.5000 0.5000 0.5000 (multiplicity 1)

Computed properties:
Magnetization in μB/atom: 0.902
Fermi-level density of states in states/eV/atom: 0.894

---

So which one is most stable? That would be *one*, about 0.053 eV/atom below the next structure.

---

*one*
Computed, not measured: a PBEsol-optimized structure of FeRe2As at the SCAN level of DFT.

a b c (Å): 2.9571 2.9571 6.1460
angles (deg): 90.00 90.00 90.00
Space group P4/mmm (No. 123)
Asymmetric unit:
Fe 0.0000 0.0000 0.0000 (multiplicity 1)
Re 0.5000 0.5000 0.2441 (multiplicity 2)
As 0.0000 0.0000 0.5000 (multiplicity 1)

Computed properties:
Magnetization in μB/atom: 0.520
Fermi-level density of states in states/eV/atom: 0.542

---

*two*
Computed, not measured: a PBEsol-optimized structure of FeRe2As at the SCAN level of DFT.

a b c (Å): 2.8392 2.8392 6.5944
angles (deg): 90.00 90.00 90.00
Space group P4mm (No. 99)
Asymmetric unit:
Fe 0.0000 0.0000 0.0000 (multiplicity 1)
Re 0.0000 0.0000 0.5375 (multiplicity 1)
Re 0.5000 0.5000 0.2696 (multiplicity 1)
As 0.5000 0.5000 0.7980 (multiplicity 1)

Computed properties:
Magnetization in μB/atom: 0.476
Fermi-level density of states in states/eV/atom: 0.563

---

So which one is most stable? That would be *two*, about 0.012 eV/atom below the next structure.

---

*one*
Computed, not measured: a PBEsol-optimized structure of Fe3AsRh at the SCAN level of DFT.

a b c (Å): 4.5206 4.5206 4.5206
angles (deg): 90.00 90.00 90.00
Space group Pm-3m (No. 221)
Asymmetric unit:
Fe 0.0000 0.0000 0.5000 (multiplicity 3)
As 0.5000 0.5000 0.5000 (multiplicity 1)
Rh 0.0000 0.0000 0.0000 (multiplicity 1)

Computed properties:
Magnetization in μB/atom: 2.244
Fermi-level density of states in states/eV/atom: 0.839

---

*two*
Computed, not measured: a PBEsol-optimized structure of Fe3AsRh at the SCAN level of DFT.

a b c (Å): 4.2554 4.2554 4.2554
angles (deg): 90.00 90.00 90.00
Space group Pm-3m (No. 221)
Asymmetric unit:
Fe 0.0000 0.0000 0.5000 (multiplicity 3)
As 0.0000 0.0000 0.0000 (multiplicity 1)
Rh 0.5000 0.5000 0.5000 (multiplicity 1)

Computed properties:
Magnetization in μB/atom: 1.833
Fermi-level density of states in states/eV/atom: 1.149

---

So which one is most stable? That would be *two*, about 0.241 eV/atom below the next structure.

---

*one*
Computed, not measured: a PBEsol-optimized structure of TaFeAs2 at the SCAN level of DFT.

a b c (Å): 3.0902 3.6278 5.4175
angles (deg): 90.00 90.00 90.00
Space group Pmmm (No. 47)
Asymmetric unit:
Ta 0.0000 0.0000 0.0000 (multiplicity 1)
Fe 0.5000 0.0000 0.5000 (multiplicity 1)
As 0.5000 0.5000 0.2473 (multiplicity 2)

Computed properties:
Magnetization in μB/atom: 0.364
Fermi-level density of states in states/eV/atom: 0.628

---

*two*
Computed, not measured: a PBEsol-optimized structure of TaFeAs2 at the SCAN level of DFT.

a b c (Å): 6.1641 6.1641 6.1641
angles (deg): 90.00 90.00 90.00
Space group Fm-3m (No. 225)
Asymmetric unit:
Ta 0.0000 0.0000 0.0000 (multiplicity 4)
Fe 0.0000 0.0000 0.5000 (multiplicity 4)
As 0.2500 0.2500 0.2500 (multiplicity 8)

Computed properties:
Magnetization in μB/atom: 0.542
Fermi-level density of states in states/eV/atom: 0.710

---

So which one is most stable? That would be *two*, about 0.009 eV/atom below the next structure.